# 1
Sr2InCuO5: optimized geometry, GGA-PBE.

Output
formation energy from raw total energies = -1.753 eV/atom
crystal system = orthorhombic

a = 3.4281 Å, b = 7.1554 Å, c = 10.6460 Å
α = 90.00°, β = 90.00°, γ = 103.86°
Last column: nearest neighbours and their distance in Å.
Element x y z (fractional)
Sr (0.8952, 0.7904, 0.1822)  6 O 2.52-2.66
O (0.5085, 0.0169, 0.2789)  1 Cu 1.89
Sr (0.8599, 0.7198, 0.8159)  7 O 2.54-2.68
In (0.7931, 0.5861, 0.5230)  6 O 2.19-2.28
O (0.3251, 0.6502, 0.3888)  1 Cu 2.12, 2 In 2.28
O (0.4915, 0.9831, 0.7789)  1 Cu 1.89
O (0.0449, 0.0899, 0.0271)  2 Cu 1.92
O (0.7146, 0.4292, 0.1585)  2 In 2.24
Cu (0.5295, 0.0589, 0.9493)  3 O 1.89-1.92
Sr (0.1401, 0.2802, 0.3159)  7 O 2.54-2.68
O (0.3635, 0.7270, 0.0001)  1 In 2.19, 1 Cu 2.37
In (0.2069, 0.4139, 0.0230)  6 O 2.19-2.28
O (0.6365, 0.2730, 0.5001)  1 In 2.19, 1 Cu 2.37
O (0.6749, 0.3498, 0.8888)  1 Cu 2.12, 2 In 2.28
Sr (0.1048, 0.2096, 0.6822)  6 O 2.52-2.66
O (0.9551, 0.9101, 0.5271)  2 Cu 1.92
Cu (0.4705, 0.9411, 0.4493)  3 O 1.89-1.92
O (0.2854, 0.5708, 0.6585)  2 In 2.24

---

# 2
BiAsOs: optimized geometry, GGA-PBE.

Output
ΔH_f (0 K) = 94 kJ/mol of formula units
crystal system = tetragonal

a = 3.9101 Å, b = 8.5581 Å, c = 8.5581 Å
α = 90.00°, β = 90.00°, γ = 90.00°
Last column: nearest neighbours and their distance in Å.
Element x y z (fractional)
As (0.0000, 0.5383, 0.2652)  3 Os 2.41-2.43
Bi (0.5000, 0.7392, 0.9406)  3 Os 2.73-2.80
Os (0.0000, 0.2584, 0.2935)  3 As 2.41-2.43
Os (0.5000, 0.7065, 0.2584)  3 As 2.41-2.43
Bi (0.0000, 0.0594, 0.7392)  3 Os 2.73-2.80
As (0.0000, 0.4617, 0.7348)  3 Os 2.41-2.43
Os (0.0000, 0.7416, 0.7065)  3 As 2.41-2.43
As (0.5000, 0.7348, 0.5383)  3 Os 2.41-2.43
Bi (0.5000, 0.2608, 0.0594)  3 Os 2.73-2.80
As (0.5000, 0.2652, 0.4617)  3 Os 2.41-2.43
Bi (0.0000, 0.9406, 0.2608)  3 Os 2.73-2.80
Os (0.5000, 0.2935, 0.7416)  3 As 2.41-2.43

---

# 3
TbCe2Er: optimized geometry, GGA-PBE.

Output
distance to the lowest polymorph of the same formula = 140 meV per atom
ΔH_f (0 K) = 88 kJ/mol of formula units
crystal system = cubic

a = 5.6204 Å, b = 5.6204 Å, c = 5.6204 Å
α = 60.00°, β = 60.00°, γ = 60.00°
Last column: nearest neighbours and their distance in Å.
Element x y z (fractional)
Tb (0.0000, 0.0000, 0.0000)  8 Ce 3.44
Er (0.5000, 0.5000, 0.5000)  8 Ce 3.44
Ce (0.7500, 0.7500, 0.7500)  4 Er 3.44, 4 Tb 3.44
Ce (0.2500, 0.2500, 0.2500)  4 Er 3.44, 4 Tb 3.44

---

# 4
TbNd2Sm3: optimized geometry, GGA-PBE.

Output
distance to the lowest polymorph of the same formula = 109 meV per atom
ΔH_f (0 K) = 101 kJ/mol of formula units
crystal system = monoclinic

a = 6.7964 Å, b = 10.3118 Å, c = 10.3118 Å
α = 68.31°, β = 48.99°, γ = 48.99°
Last column: nearest neighbours and their distance in Å.
Element x y z (fractional)
Nd (0.0847, 0.0681, 0.5982)  7 Sm 3.46-3.85, 3 Nd 3.47-3.83, 2 Tb 3.64-3.65
Sm (0.7500, 0.7357, 0.2643)  6 Nd 3.46-3.85, 2 Tb 3.50, 4 Sm 3.65-3.67
Sm (0.2500, 0.2643, 0.7357)  6 Nd 3.46-3.85, 2 Tb 3.50, 4 Sm 3.65-3.67
Tb (0.0000, 0.0000, 0.0000)  2 Tb 3.40, 4 Sm 3.46-3.50, 4 Nd 3.64-3.65
Nd (0.4152, 0.4018, 0.9319)  7 Sm 3.46-3.85, 3 Nd 3.47-3.83, 2 Tb 3.64-3.65
Sm (0.8311, 0.3320, 0.3325)  5 Sm 3.40-3.67, 1 Tb 3.46, 4 Nd 3.49-3.66
Nd (0.5848, 0.5982, 0.0681)  7 Sm 3.46-3.85, 3 Nd 3.47-3.83, 2 Tb 3.64-3.65
Sm (0.1689, 0.6680, 0.6675)  5 Sm 3.40-3.67, 1 Tb 3.46, 4 Nd 3.49-3.66
Sm (0.3311, 0.3325, 0.3320)  5 Sm 3.40-3.67, 1 Tb 3.46, 4 Nd 3.49-3.66
Nd (0.9153, 0.9319, 0.4018)  7 Sm 3.46-3.85, 3 Nd 3.47-3.83, 2 Tb 3.64-3.65
Tb (0.5000, 0.0000, 0.0000)  2 Tb 3.40, 4 Sm 3.46-3.50, 4 Nd 3.64-3.65
Sm (0.6689, 0.6675, 0.6680)  5 Sm 3.40-3.67, 1 Tb 3.46, 4 Nd 3.49-3.66